## Ba5As2SeO (PBE-GGA)

Data for an optimized crystal structure of Ba5As2SeO.

Cell lengths 4.736, 9.958, 13.833 Å; angles 90.00, 90.00, 103.76 degrees
Fractional positions:
O 0.468 0.936 0.431
O 0.532 0.064 0.931
Ba 0.713 0.425 0.193
Ba 0.350 0.700 0.010
Ba 0.015 0.031 0.002
Ba 0.287 0.575 0.693
Ba 0.483 0.966 0.767
Ba 0.985 0.969 0.502
Ba 0.517 0.034 0.267
Ba 0.650 0.300 0.510
Ba 0.661 0.322 0.867
Ba 0.339 0.678 0.367
As 0.110 0.219 0.690
As 0.890 0.781 0.190
As 0.862 0.724 0.835
As 0.138 0.276 0.335
Se 0.185 0.370 0.029
Se 0.815 0.630 0.529

As for the space group: Cmc2_1, No. 36. As for the total energy: -4.625 eV/atom. The magnetic moment comes out at 0.00 μB/f.u. The uncorrected formation energy is -1585 meV per atom.


## BaAs2SeO (PBE-GGA)

Data for an optimized crystal structure of BaAs2SeO.

Cell lengths 6.701, 6.701, 6.231 Å; angles 90.00, 90.00, 90.00 degrees
Fractional positions:
As 0.500 0.000 0.000
As 0.000 0.500 0.000
O 0.500 0.500 0.500
Se 0.000 0.000 0.500
Ba 0.000 0.000 0.000

As for the excess energy over the best structure of this formula in the dataset: 1.589 eV/atom. As for the space group: P4/mmm, No. 123. As for the total energy: -2.690 eV/atom. The magnetic moment comes out at 5.79 μB/f.u. The uncorrected formation energy is 1243 meV per atom.


## BaAsSeO2 (PBE-GGA)

Data for an optimized crystal structure of BaAsSeO2.

Cell lengths 5.212, 5.607, 8.382 Å; angles 109.54, 90.00, 90.00 degrees
Fractional positions:
Ba 0.250 0.615 0.230
Ba 0.750 0.385 0.770
O 0.500 0.784 0.000
O 0.000 0.216 0.000
O 0.500 0.216 0.000
O 0.000 0.784 0.000
Se 0.750 0.752 0.505
Se 0.250 0.248 0.495
As 0.750 0.050 0.099
As 0.250 0.950 0.901

As for the excess energy over the best structure of this formula in the dataset: 0.000 eV/atom. As for the space group: Cmcm, No. 63. As for the total energy: -5.449 eV/atom. The magnetic moment comes out at 0.08 μB/f.u. The uncorrected formation energy is -1454 meV per atom.


## BaAs2SeO (PBE-GGA)

Data for an optimized crystal structure of BaAs2SeO.

Cell lengths 4.552, 4.552, 5.266 Å; angles 90.00, 90.00, 90.00 degrees
Fractional positions:
As 0.500 0.000 0.000
As 0.000 0.500 0.000
Ba 0.500 0.500 0.500
O 0.000 0.000 0.000
Se 0.000 0.000 0.500

As for the excess energy over the best structure of this formula in the dataset: 0.000 eV/atom. As for the space group: P4/mmm, No. 123. As for the total energy: -4.279 eV/atom. The magnetic moment comes out at 0.00 μB/f.u. The uncorrected formation energy is -346 meV per atom.


## BaAsSeO2 (PBE-GGA)

Data for an optimized crystal structure of BaAsSeO2.

Cell lengths 4.400, 4.909, 4.400 Å; angles 90.00, 90.00, 90.00 degrees
Fractional positions:
As 0.000 0.500 0.000
Se 0.000 0.000 0.000
Ba 0.500 0.500 0.500
O 0.500 0.000 0.000
O 0.000 0.000 0.500

As for the excess energy over the best structure of this formula in the dataset: 0.889 eV/atom. As for the space group: P4/mmm, No. 123. As for the total energy: -4.560 eV/atom. The magnetic moment comes out at 0.00 μB/f.u. The uncorrected formation energy is -565 meV per atom.


## BaSiAs2O8 (PBE-GGA)

Data for an optimized crystal structure of BaSiAs2O8.

Cell lengths 5.001, 5.001, 8.625 Å; angles 73.15, 73.15, 60.00 degrees
Fractional positions:
O 0.491 0.303 0.355
O 0.150 0.697 0.645
O 0.304 0.304 0.088
O 0.850 0.491 0.355
O 0.303 0.850 0.355
O 0.697 0.509 0.645
O 0.696 0.696 0.912
O 0.509 0.150 0.645
As 0.234 0.234 0.298
As 0.766 0.766 0.702
Si 0.500 0.500 0.500
Ba 0.000 0.000 0.000

As for the space group: R32, No. 155. As for the total energy: -6.451 eV/atom. The magnetic moment comes out at 0.00 μB/f.u. The uncorrected formation energy is -1758 meV per atom.


## BaSi2AsO8 (PBE-GGA)

Data for an optimized crystal structure of BaSi2AsO8.

Cell lengths 4.870, 4.870, 8.195 Å; angles 72.72, 72.72, 60.00 degrees
Fractional positions:
O 0.196 0.196 0.412
O 0.368 0.760 0.859
O 0.240 0.987 0.141
O 0.987 0.632 0.141
O 0.804 0.804 0.588
O 0.632 0.240 0.141
O 0.013 0.368 0.859
O 0.760 0.013 0.859
Ba 0.500 0.500 0.500
Si 0.267 0.267 0.200
Si 0.733 0.733 0.800
As 0.000 0.000 0.000

As for the space group: R-3, No. 148. As for the total energy: -6.874 eV/atom. The magnetic moment comes out at 1.04 μB/f.u. The uncorrected formation energy is -2117 meV per atom.


## BaSiAsO6 (PBE-GGA)

Data for an optimized crystal structure of BaSiAsO6.

Cell lengths 4.886, 4.886, 5.927 Å; angles 90.00, 90.00, 60.00 degrees
Fractional positions:
Ba 0.000 0.000 0.000
As 0.667 0.667 0.500
O 0.010 0.383 0.324
O 0.383 0.010 0.676
O 0.607 0.383 0.676
O 0.383 0.607 0.324
O 0.010 0.607 0.676
O 0.607 0.010 0.324
Si 0.333 0.333 0.500

As for the space group: P312, No. 149. As for the total energy: -6.617 eV/atom. The magnetic moment comes out at 1.07 μB/f.u. The uncorrected formation energy is -1978 meV per atom.


## BaSmAs2O8 (PBE-GGA)

Data for an optimized crystal structure of BaSmAs2O8.

Cell lengths 5.750, 5.750, 7.855 Å; angles 90.00, 90.00, 120.00 degrees
Fractional positions:
O 0.830 0.170 0.300
O 0.170 0.830 0.700
O 0.830 0.660 0.300
O 0.340 0.170 0.300
O 0.333 0.667 0.987
O 0.660 0.830 0.700
O 0.170 0.340 0.700
O 0.667 0.333 0.013
Sm 0.000 0.000 0.500
Ba 0.000 0.000 0.000
As 0.333 0.667 0.767
As 0.667 0.333 0.233

As for the space group: P-3m1, No. 164. As for the total energy: -6.611 eV/atom. The magnetic moment comes out at 1.03 μB/f.u. The uncorrected formation energy is -1977 meV per atom.


## Ba2SnAsO6 (PBE-GGA)

Data for an optimized crystal structure of Ba2SnAsO6.

Cell lengths 5.846, 5.846, 5.850 Å; angles 60.02, 60.02, 90.00 degrees
Fractional positions:
O 0.741 0.259 0.000
O 0.259 0.259 0.000
O 0.259 0.259 0.483
O 0.741 0.741 0.517
O 0.741 0.741 0.000
O 0.259 0.741 0.000
Sn 0.000 0.000 0.000
Ba 0.750 0.250 0.500
Ba 0.250 0.750 0.500
As 0.500 0.500 0.000

As for the space group: Fm-3m, No. 225. As for the total energy: -6.200 eV/atom. The magnetic moment comes out at 0.00 μB/f.u. The uncorrected formation energy is -1975 meV per atom.


## BaSnAsO6 (PBE-GGA)

Data for an optimized crystal structure of BaSnAsO6.

Cell lengths 5.297, 5.297, 5.804 Å; angles 90.00, 90.00, 60.00 degrees
Fractional positions:
As 0.333 0.333 0.500
Ba 0.000 0.000 0.000
O 0.368 0.600 0.311
O 0.600 0.031 0.311
O 0.368 0.031 0.689
O 0.031 0.368 0.311
O 0.031 0.600 0.689
O 0.600 0.369 0.689
Sn 0.667 0.667 0.500

As for the space group: P312, No. 149. As for the total energy: -6.119 eV/atom. The magnetic moment comes out at 1.08 μB/f.u. The uncorrected formation energy is -1638 meV per atom.


## BaSnAs2O8 (PBE-GGA)

Data for an optimized crystal structure of BaSnAs2O8.

Cell lengths 5.168, 5.168, 8.079 Å; angles 90.00, 90.00, 120.00 degrees
Fractional positions:
O 0.672 0.708 0.661
O 0.036 0.328 0.661
O 0.328 0.292 0.339
O 0.964 0.672 0.339
O 0.333 0.667 0.934
O 0.292 0.964 0.661
O 0.708 0.036 0.339
O 0.667 0.333 0.066
Sn 0.000 0.000 0.500
As 0.333 0.667 0.725
As 0.667 0.333 0.275
Ba 0.000 0.000 0.000

As for the space group: P-3, No. 147. As for the total energy: -6.272 eV/atom. The magnetic moment comes out at 0.00 μB/f.u. The uncorrected formation energy is -1698 meV per atom.


## BaSnAsO (PBE-GGA)

Data for an optimized crystal structure of BaSnAsO.

Cell lengths 4.621, 4.621, 12.001 Å; angles 90.00, 90.00, 120.00 degrees
Fractional positions:
Ba 0.667 0.333 0.434
Ba 0.333 0.667 0.934
As 0.333 0.667 0.222
As 0.667 0.333 0.722
O 0.000 0.000 0.992
O 0.000 0.000 0.492
Sn 0.000 0.000 0.664
Sn 0.000 0.000 0.164

As for the space group: P6_3mc, No. 186. As for the total energy: -5.196 eV/atom. The magnetic moment comes out at 0.00 μB/f.u. The uncorrected formation energy is -1313 meV per atom.


## BaSr2AsO (PBE-GGA)

Data for an optimized crystal structure of BaSr2AsO.

Cell lengths 5.044, 5.044, 5.493 Å; angles 90.00, 90.00, 90.00 degrees
Fractional positions:
Sr 0.000 0.500 0.000
Sr 0.500 0.000 0.000
Ba 0.000 0.000 0.500
As 0.500 0.500 0.500
O 0.000 0.000 0.000

As for the space group: P4/mmm, No. 123. As for the total energy: -4.423 eV/atom. The magnetic moment comes out at 0.00 μB/f.u. The uncorrected formation energy is -1444 meV per atom.


## BaSrAs2O6 (PBE-GGA)

Data for an optimized crystal structure of BaSrAs2O6.

Cell lengths 5.950, 5.950, 7.083 Å; angles 65.16, 65.16, 60.00 degrees
Fractional positions:
As 0.783 0.783 0.651
As 0.217 0.217 0.349
O 0.958 0.512 0.260
O 0.730 0.042 0.740
O 0.270 0.958 0.260
O 0.512 0.270 0.260
O 0.488 0.730 0.740
O 0.042 0.488 0.740
Sr 0.500 0.500 0.500
Ba 0.000 0.000 0.000

As for the space group: R-3, No. 148. As for the total energy: -6.146 eV/atom. The magnetic moment comes out at 2.00 μB/f.u. The uncorrected formation energy is -1880 meV per atom.


## Ba2Sr2As2O (PBE-GGA)

Data for an optimized crystal structure of Ba2Sr2As2O.

Cell lengths 4.958, 4.958, 9.330 Å; angles 105.41, 105.41, 90.00 degrees
Fractional positions:
Ba 0.172 0.172 0.345
Ba 0.828 0.828 0.655
As 0.369 0.369 0.738
As 0.631 0.631 0.262
Sr 0.000 0.500 0.000
Sr 0.500 0.000 0.000
O 0.000 0.000 0.000

As for the space group: I4/mmm, No. 139. As for the total energy: -4.688 eV/atom. The magnetic moment comes out at 0.00 μB/f.u. The uncorrected formation energy is -1622 meV per atom.


## Ba2SrAsO (PBE-GGA)

Data for an optimized crystal structure of Ba2SrAsO.

Cell lengths 5.452, 5.452, 4.974 Å; angles 90.00, 90.00, 90.00 degrees
Fractional positions:
Ba 0.000 0.500 0.000
Ba 0.500 0.000 0.000
Sr 0.000 0.000 0.500
As 0.500 0.500 0.500
O 0.000 0.000 0.000

As for the space group: P4/mmm, No. 123. As for the total energy: -4.452 eV/atom. The magnetic moment comes out at 0.00 μB/f.u. The uncorrected formation energy is -1425 meV per atom.


## Ba2Sr4As3O2 (PBE-GGA)

Data for an optimized crystal structure of Ba2Sr4As3O2.

Cell lengths 4.982, 4.982, 13.396 Å; angles 100.72, 100.72, 90.00 degrees
Fractional positions:
O 0.404 0.404 0.807
O 0.596 0.596 0.193
As 0.832 0.832 0.663
As 0.000 0.000 0.000
As 0.168 0.168 0.337
Sr 0.580 0.080 0.159
Sr 0.420 0.920 0.841
Sr 0.080 0.580 0.159
Sr 0.920 0.420 0.841
Ba 0.304 0.304 0.609
Ba 0.696 0.696 0.391

As for the space group: I4/mmm, No. 139. As for the total energy: -4.789 eV/atom. The magnetic moment comes out at 0.00 μB/f.u. The uncorrected formation energy is -1658 meV per atom.


## BaTaAsO6 (PBE-GGA)

Data for an optimized crystal structure of BaTaAsO6.

Cell lengths 5.232, 5.232, 5.790 Å; angles 90.00, 90.00, 60.00 degrees
Fractional positions:
O 0.982 0.401 0.313
O 0.617 0.982 0.313
O 0.982 0.617 0.687
O 0.617 0.402 0.687
O 0.401 0.617 0.313
O 0.401 0.982 0.687
Ba 0.000 0.000 0.000
As 0.667 0.667 0.500
Ta 0.333 0.333 0.500

As for the space group: P312, No. 149. As for the total energy: -7.683 eV/atom. The magnetic moment comes out at 0.00 μB/f.u. The uncorrected formation energy is -2330 meV per atom.


## Ba3TaAs3O (PBE-GGA)

Data for an optimized crystal structure of Ba3TaAs3O.

Cell lengths 6.818, 11.246, 13.687 Å; angles 90.00, 90.00, 90.00 degrees
Fractional positions:
Ba 0.256 0.955 0.631
Ba 0.756 0.545 0.869
Ba 0.756 0.955 0.869
Ba 0.744 0.455 0.369
Ba 0.728 0.750 0.129
Ba 0.228 0.750 0.371
Ba 0.256 0.545 0.631
Ba 0.244 0.455 0.131
Ba 0.772 0.250 0.629
Ba 0.272 0.250 0.871
Ba 0.244 0.045 0.131
Ba 0.744 0.045 0.369
Ta 0.839 0.250 0.045
Ta 0.161 0.750 0.955
Ta 0.661 0.750 0.545
Ta 0.339 0.250 0.455
As 0.737 0.444 0.118
As 0.729 0.750 0.367
As 0.771 0.250 0.867
As 0.763 0.556 0.618
As 0.237 0.444 0.382
As 0.737 0.056 0.118
As 0.271 0.250 0.633
As 0.763 0.944 0.618
As 0.237 0.056 0.382
As 0.229 0.750 0.133
As 0.263 0.944 0.882
As 0.263 0.556 0.882
O 0.114 0.250 0.053
O 0.386 0.750 0.553
O 0.886 0.750 0.947
O 0.614 0.250 0.447

As for the space group: Pnma, No. 62. As for the total energy: -6.025 eV/atom. The magnetic moment comes out at 0.00 μB/f.u. The uncorrected formation energy is -1459 meV per atom.


## Ba2TbAsO6 (PBE-GGA)

Data for an optimized crystal structure of Ba2TbAsO6.

Cell lengths 5.963, 5.963, 10.525 Å; angles 73.54, 73.54, 60.00 degrees
Fractional positions:
Tb 0.405 0.405 0.786
Tb 0.595 0.595 0.214
O 0.612 0.164 0.612
O 0.185 0.185 0.892
O 0.164 0.612 0.612
O 0.185 0.738 0.892
O 0.836 0.388 0.388
O 0.388 0.836 0.388
O 0.388 0.388 0.388
O 0.738 0.185 0.892
O 0.815 0.262 0.108
O 0.612 0.612 0.612
O 0.262 0.815 0.108
O 0.815 0.815 0.108
Ba 0.283 0.283 0.151
Ba 0.717 0.717 0.849
Ba 0.134 0.134 0.599
Ba 0.866 0.866 0.401
As 0.000 0.000 0.000
As 0.500 0.500 0.500

As for the space group: R-3m, No. 166. As for the total energy: -6.771 eV/atom. The magnetic moment comes out at 0.00 μB/f.u. The uncorrected formation energy is -2484 meV per atom.